First-principles (PBE-GGA) data for crystalline RbTlF3 at its relaxed geometry, as listed in Alexandria.

The space group is Amm2 (38).

a = 3.8523 Å, b = 7.0161 Å, c = 7.0161 Å
α = 118.92°, β = 90.00°, γ = 90.00°
Sites, in units of the cell vectors:
1 Tl 0.0000 0.4174 0.5826
2 Rb 0.5000 0.0830 0.9170
3 F 0.5000 0.2536 0.3584
4 F 0.5000 0.6416 0.7464
5 F 0.0000 0.2324 0.7676

First-principles (PBE-GGA) data for crystalline RbTlF3 at its relaxed geometry, as listed in Alexandria.

The space group is R-3 (148).

a = 6.0578 Å, b = 6.0578 Å, c = 6.0578 Å
α = 68.58°, β = 68.58°, γ = 68.58°
Sites, in units of the cell vectors:
1 Tl 0.3850 0.3850 0.3850
2 Tl 0.6150 0.6150 0.6150
3 Rb 0.1204 0.1204 0.1204
4 Rb 0.8796 0.8796 0.8796
5 F 0.4681 0.9809 0.7287
6 F 0.9809 0.7287 0.4681
7 F 0.2713 0.5319 0.0191
8 F 0.0191 0.2713 0.5319
9 F 0.5319 0.0191 0.2713
10 F 0.7287 0.4681 0.9809

First-principles (PBE-GGA) data for crystalline Rb12Tl3F5 at its relaxed geometry, as listed in Alexandria.

The space group is Ia-3d (230).

a = 16.5133 Å, b = 16.5133 Å, c = 16.5133 Å
α = 109.47°, β = 109.47°, γ = 109.47°
Sites, in units of the cell vectors:
1 Tl 0.7500 0.3750 0.1250
2 Tl 0.8750 0.7500 0.1250
3 Tl 0.3750 0.7500 0.6250
4 Tl 0.2500 0.1250 0.3750
5 Tl 0.8750 0.1250 0.2500
6 Tl 0.3750 0.6250 0.2500
7 Tl 0.6250 0.3750 0.7500
8 Tl 0.1250 0.8750 0.7500
9 Tl 0.7500 0.8750 0.6250
10 Tl 0.6250 0.2500 0.3750
11 Tl 0.1250 0.2500 0.8750
12 Tl 0.2500 0.6250 0.8750
13 F 0.1250 0.3750 0.2500
14 F 0.0000 0.5000 0.0000
15 F 0.0000 0.0000 0.0000
16 F 0.3750 0.2500 0.1250
17 F 0.5000 0.0000 0.5000
18 F 0.5000 0.5000 0.0000
19 F 0.1250 0.7500 0.3750
20 F 0.7500 0.1250 0.8750
21 F 0.7500 0.6250 0.3750
22 F 0.3750 0.1250 0.7500
23 F 0.6250 0.8750 0.2500
24 F 0.5000 0.5000 0.5000
25 F 0.5000 0.0000 0.0000
26 F 0.0000 0.0000 0.5000
27 F 0.2500 0.3750 0.6250
28 F 0.2500 0.8750 0.1250
29 F 0.0000 0.5000 0.5000
30 F 0.8750 0.2500 0.6250
31 F 0.6250 0.7500 0.8750
32 F 0.8750 0.6250 0.7500
33 Rb 0.6903 0.1090 0.0063
34 Rb 0.3159 0.5063 0.3973
35 Rb 0.9937 0.3910 0.3097
36 Rb 0.5063 0.1903 0.1090
37 Rb 0.5813 0.6903 0.6841
38 Rb 0.9937 0.6027 0.1841
39 Rb 0.3159 0.8097 0.4187
40 Rb 0.1027 0.9187 0.1090
41 Rb 0.6027 0.9937 0.6841
42 Rb 0.6903 0.5813 0.1841
43 Rb 0.8097 0.4937 0.3910
44 Rb 0.8159 0.8973 0.0063
45 Rb 0.1090 0.6903 0.5063
46 Rb 0.3910 0.3973 0.0813
47 Rb 0.0813 0.8973 0.3910
48 Rb 0.4187 0.1090 0.6027
49 Rb 0.0813 0.1841 0.1903
50 Rb 0.4937 0.6841 0.1027
51 Rb 0.8159 0.9187 0.3097
52 Rb 0.1090 0.4187 0.1027
53 Rb 0.3910 0.9937 0.8097
54 Rb 0.6027 0.6090 0.4187
55 Rb 0.8973 0.8159 0.5063
56 Rb 0.8097 0.3159 0.9187
57 Rb 0.3973 0.3910 0.5813
58 Rb 0.1027 0.1841 0.4937
59 Rb 0.1903 0.6841 0.0813
60 Rb 0.1841 0.0813 0.6903
61 Rb 0.6090 0.0063 0.1903
62 Rb 0.8910 0.5813 0.8973
63 Rb 0.5063 0.3159 0.8973
64 Rb 0.5813 0.8910 0.3973
65 Rb 0.9187 0.8159 0.8097
66 Rb 0.9187 0.1027 0.6090
67 Rb 0.8910 0.3097 0.4937
68 Rb 0.1841 0.1027 0.9937
69 Rb 0.6090 0.6027 0.9187
70 Rb 0.3973 0.0063 0.3159
71 Rb 0.3097 0.4187 0.8159
72 Rb 0.1903 0.5063 0.6090
73 Rb 0.8973 0.0813 0.8910
74 Rb 0.6841 0.1903 0.5813
75 Rb 0.4937 0.8097 0.8910
76 Rb 0.0063 0.3973 0.8159
77 Rb 0.4187 0.3097 0.3159
78 Rb 0.0063 0.6090 0.6903
79 Rb 0.6841 0.4937 0.6027
80 Rb 0.3097 0.8910 0.9937

First-principles (PBE-GGA) data for crystalline RbTlF3 at its relaxed geometry, as listed in Alexandria.

The space group is P2_1/m (11).

a = 3.9240 Å, b = 6.2373 Å, c = 8.9035 Å
α = 90.00°, β = 116.04°, γ = 90.00°
Sites, in units of the cell vectors:
1 Tl 0.8543 0.2500 0.1051
2 Tl 0.1457 0.7500 0.8949
3 Rb 0.8822 0.2500 0.6337
4 Rb 0.1178 0.7500 0.3663
5 F 0.6132 0.4988 0.8627
6 F 0.3868 0.5012 0.1373
7 F 0.6132 0.0012 0.8627
8 F 0.3868 0.9988 0.1373
9 F 0.1453 0.2500 0.3962
10 F 0.8547 0.7500 0.6038

First-principles (PBE-GGA) data for crystalline RbTlF3 at its relaxed geometry, as listed in Alexandria.

The space group is C2/m (12).

a = 16.2075 Å, b = 6.9088 Å, c = 6.9088 Å
α = 140.88°, β = 147.00°, γ = 33.00°
Sites, in units of the cell vectors:
1 Tl 0.9120 0.9573 0.0427
2 Tl 0.0880 0.0427 0.9573
3 Rb 0.6170 0.0104 0.9896
4 Rb 0.3830 0.9896 0.0104
5 F 0.8136 0.2393 0.7607
6 F 0.1864 0.7607 0.2393
7 F 0.9603 0.3769 0.6231
8 F 0.0397 0.6231 0.3769
9 F 0.3823 0.7783 0.2217
10 F 0.6177 0.2217 0.7783

First-principles (PBE-GGA) data for crystalline RbTl2F8 at its relaxed geometry, as listed in Alexandria.

The space group is P4/mmm (123). The energy above the most stable polymorph in this dataset is 71 meV per atom.

a = 5.3667 Å, b = 5.3667 Å, c = 7.0095 Å
α = 90.00°, β = 90.00°, γ = 90.00°
Last column: magnetic moment on the atom in μB.
Sites, in units of the cell vectors:
1 Rb 0.5000 0.5000 0.5000  0.00
2 Tl 0.5000 0.0000 0.0000  -0.01
3 Tl 0.0000 0.5000 0.0000  -0.01
4 F 0.7493 0.7493 0.1870  0.13
5 F 0.7493 0.2507 0.8130  0.13
6 F 0.7493 0.7493 0.8130  0.13
7 F 0.7493 0.2507 0.1870  0.13
8 F 0.2507 0.7493 0.1870  0.13
9 F 0.2507 0.7493 0.8130  0.13
10 F 0.2507 0.2507 0.1870  0.13
11 F 0.2507 0.2507 0.8130  0.13

Asked for uncorrected formation energy across the records above, the calculation gives -2.06, -2.11, -1.22, -2.13, -2.14, -1.78 eV/atom in order.